Material: Cs2NaLiS
Method: DFT, GGA-PBE
State: relaxed

CIF file:
```
data_Cs2NaLiS
_cell_length_a 7.181
_cell_length_b 7.181
_cell_length_c 4.625
_cell_angle_alpha 90.00
_cell_angle_beta 90.00
_cell_angle_gamma 90.00
_symmetry_space_group_name_H-M 'P 4/m m m'
_symmetry_Int_Tables_number 123
_symmetry_space_group_name_Hall '-P 4 2'
loop_
_atom_site_label
_atom_site_type_symbol
_atom_site_fract_x
_atom_site_fract_y
_atom_site_fract_z
_atom_site_occupancy
Cs1 Cs 0.000 0.500 0.000 1
Na1 Na 0.000 0.000 0.500 1
Li1 Li 0.500 0.500 0.500 1
S1 S 0.500 0.500 0.000 1
```

Calculated values
As for the uncorrected formation energy: -579.3 meV per atom. The calculation puts the density of states at the Fermi level at 0.14 states/eV/atom.